1.
An optimized crystal structure of Sr2Ni12P3Rh. Source: Alexandria, functional PBE-GGA.

The space group is R-3m (No. 166, hexagonal axes) and the conventional cell measures 7.7082, 7.7082 and 17.6135 Å, with angles of 90.00, 90.00 and 120.00 degrees. The asymmetric unit holds Sr at (0.0000, 0.0000, 0.1101), Ni at (0.0042, 0.5021, 0.1191), Ni at (0.0529, 0.5265, 0.3611), P at (0.0000, 0.5000, 0.0000) and Rh at (0.0000, 0.0000, 0.5000).

The value obtained for the energy of formation from the pure elements is 2.930 kcal/mol of atoms. The value obtained for the magnetization is 0.03 μB per formula unit.

---

2.
An optimized crystal structure of TaNi2PRh. Source: Alexandria, functional PBE-GGA.

The space group is P4/mmm (No. 123) and the conventional cell measures 4.538, 4.538 and 4.683 Å, with angles of 90.00, 90.00 and 90.00 degrees. The asymmetric unit holds Ta at (0.000, 0.000, 0.000), Ni at (0.000, 0.500, 0.000), P at (0.500, 0.500, 0.500) and Rh at (0.000, 0.000, 0.500).

The value obtained for the energy of formation from the pure elements is 31.375 kcal/mol of atoms. The value obtained for the magnetization is 0.00 μB per formula unit.

---

3.
An optimized crystal structure of Tb2NiP3Rh12. Source: Alexandria, functional PBE-GGA.

The space group is R-3m (No. 166, hexagonal axes) and the conventional cell measures 8.7871, 8.7871 and 12.9871 Å, with angles of 90.00, 90.00 and 120.00 degrees. The asymmetric unit holds Tb at (0.0000, 0.0000, 0.1244), Ni at (0.0000, 0.0000, 0.5000), P at (0.0000, 0.5000, 0.0000), Rh at (0.0004, 0.5002, 0.1716) and Rh at (0.0286, 0.5143, 0.3806).

The value obtained for the energy of formation from the pure elements is -4.900 kcal/mol of atoms. The value obtained for the magnetization is 1.43 μB per formula unit.

---

4.
An optimized crystal structure of Tb2Ni4P3Rh. Source: Alexandria, functional PBE-GGA.

The space group is P-4m2 (No. 115) and the conventional cell measures 3.863, 3.863 and 9.849 Å, with angles of 90.00, 90.00 and 90.00 degrees. The asymmetric unit holds Tb at (0.000, 0.500, 0.246), Ni at (0.000, 0.000, 0.000), Ni at (0.000, 0.500, 0.651), Ni at (0.500, 0.500, 0.000), P at (0.000, 0.500, 0.874), P at (0.500, 0.500, 0.500) and Rh at (0.000, 0.000, 0.500).

The value obtained for the energy of formation from the pure elements is -19.744 kcal/mol of atoms. The value obtained for the magnetization is 0.00 μB per formula unit.